Record 1
A relaxed structure of ErBeSiPt3, computed with PBE-GGA.

Summary:
Crystal system = orthorhombic
ΔE_f (raw) = -0.851 eV per atom

Lattice parameters (Å, degrees): 5.4957 6.4093 6.5989 119.05 90.00 90.00
Closest atoms and distances in Å follow each position.
Fractional coordinates of all 12 atoms:
1 Er 0.7500 0.2815 0.5630  2 Si 2.95, 1 Be 2.96, 8 Pt 3.00-3.24
2 Er 0.2500 0.7185 0.4370  2 Si 2.95, 1 Be 2.96, 8 Pt 3.00-3.24
3 Be 0.2500 0.9747 0.9495  5 Pt 2.27-2.33
4 Be 0.7500 0.0253 0.0505  5 Pt 2.27-2.33
5 Si 0.2500 0.3748 0.7497  5 Pt 2.29-2.45
6 Si 0.7500 0.6252 0.2503  5 Pt 2.29-2.45
7 Pt 0.2500 0.1767 0.3533  1 Si 2.29, 1 Be 2.33
8 Pt 0.0000 0.2783 0.0000  2 Be 2.27, 2 Si 2.45
9 Pt 0.5000 0.7217 0.0000  2 Be 2.27, 2 Si 2.45
10 Pt 0.5000 0.2783 0.0000  2 Be 2.27, 2 Si 2.45
11 Pt 0.0000 0.7217 0.0000  2 Be 2.27, 2 Si 2.45
12 Pt 0.7500 0.8233 0.6467  1 Si 2.29, 1 Be 2.33

---

Record 2
A relaxed structure of Sc2Sn3, computed with PBE-GGA.

Summary:
Energy of formation = -0.4426 eV per atom
Crystal system = monoclinic

Lattice parameters (Å, degrees): 4.2109 5.7315 5.6962 87.38 68.31 68.45
Closest atoms and distances in Å follow each position.
Fractional coordinates of all 5 atoms:
1 Sc 0.7191 0.3617 0.2001  7 Sn 2.97-3.16
2 Sc 0.2809 0.6383 0.7999  7 Sn 2.97-3.16
3 Sn 0.9248 0.7640 0.3863  6 Sc 3.09-3.43, 6 Sn 3.17-3.40
4 Sn 0.5000 0.0000 0.0000  4 Sc 2.97, 4 Sn 3.28
5 Sn 0.0752 0.2360 0.6137  6 Sc 3.09-3.43, 6 Sn 3.17-3.40

---

Record 3
A relaxed structure of Ti4MoIr2, computed with PBE-GGA.

Summary:
Energy of formation = 0.3896 eV per atom
Offset from the most stable computed form = 866 meV/atom
Crystal system = tetragonal

Lattice parameters (Å, degrees): 4.5545 4.5545 7.1803 71.51 71.51 90.00
Closest atoms and distances in Å follow each position.
Fractional coordinates of all 7 atoms:
1 Mo 0.0000 0.0000 0.0000  6 Ti 2.28-2.52
2 Ir 0.3817 0.3817 0.2366  1 Ti 2.38
3 Ir 0.6183 0.6183 0.7634  1 Ti 2.38
4 Ti 0.1963 0.1963 0.6073  1 Ir 2.38, 1 Mo 2.52
5 Ti 0.8037 0.8037 0.3927  1 Ir 2.38, 1 Mo 2.52
6 Ti 0.0000 0.5000 0.0000  2 Mo 2.28
7 Ti 0.5000 0.0000 0.0000  2 Mo 2.28

---

Record 4
A relaxed structure of ErPaAlTl, computed with PBE-GGA.

Summary:
Energy of formation = 0.0226 eV per atom
Crystal system = cubic

Lattice parameters (Å, degrees): 5.2282 5.2282 5.2282 60.00 60.00 60.00
Closest atoms and distances in Å follow each position.
Fractional coordinates of all 4 atoms:
1 Tl 0.0000 0.0000 0.0000  4 Er 3.20, 4 Pa 3.20
2 Pa 0.7500 0.7500 0.7500  4 Al 3.20, 4 Tl 3.20
3 Al 0.5000 0.5000 0.5000  4 Er 3.20, 4 Pa 3.20
4 Er 0.2500 0.2500 0.2500  4 Tl 3.20, 4 Al 3.20

---

Record 5
A relaxed structure of Ta2NbZn, computed with PBE-GGA.

Summary:
Energy of formation = 0.0250 eV per atom
Crystal system = tetragonal

Lattice parameters (Å, degrees): 3.6322 4.3573 4.3573 90.00 90.00 90.00
Closest atoms and distances in Å follow each position.
Fractional coordinates of all 4 atoms:
1 Nb 0.5000 0.5000 0.5000  8 Ta 2.84, 4 Zn 3.08
2 Zn 0.5000 0.0000 0.0000  8 Ta 2.84, 4 Nb 3.08
3 Ta 0.0000 0.0000 0.5000  4 Nb 2.84, 4 Zn 2.84, 4 Ta 3.08
4 Ta 0.0000 0.5000 0.0000  4 Nb 2.84, 4 Zn 2.84, 4 Ta 3.08

---

Record 6
A relaxed structure of Pm3ThC3, computed with PBE-GGA.

Summary:
Energy of formation = 0.2138 eV per atom
Crystal system = trigonal

Lattice parameters (Å, degrees): 5.3549 5.3549 5.3549 98.76 98.76 98.76
Closest atoms and distances in Å follow each position.
Fractional coordinates of all 7 atoms:
1 Pm 0.6060 0.6060 0.1561  3 C 2.43-2.61
2 Pm 0.6060 0.1561 0.6060  3 C 2.43-2.61
3 Pm 0.1561 0.6060 0.6060  3 C 2.43-2.61
4 Th 0.0509 0.0509 0.0509  3 C 2.52
5 C 0.4742 0.9531 0.9531  3 Pm 2.43-2.61, 1 Th 2.52
6 C 0.9531 0.9531 0.4742  3 Pm 2.43-2.61, 1 Th 2.52
7 C 0.9531 0.4742 0.9531  3 Pm 2.43-2.61, 1 Th 2.52